First-principles (PBE) data for an optimized crystal structure of Pr4Sm15Th, as listed in Alexandria.

Values from the calculation:
Calculated density   7.39 g/cm3
DFT formation energy   0.022 eV/atom
Calculated volume   34.28 Å³ per atom
Space group   P4/mmm (123)

Unit cell a=5.162 b=5.162 c=25.730 alpha=90.00 beta=90.00 gamma=90.00
Positions (direct):
Pr  0.000  0.000  0.400
Pr  0.000  0.000  0.801
Pr  0.000  0.000  0.600
Pr  0.000  0.000  0.199
Sm  0.000  0.500  0.903
Sm  0.000  0.500  0.701
Sm  0.000  0.500  0.097
Sm  0.500  0.000  0.701
Sm  0.000  0.500  0.500
Sm  0.000  0.500  0.299
Sm  0.500  0.000  0.903
Sm  0.500  0.500  0.199
Sm  0.500  0.000  0.097
Sm  0.500  0.000  0.299
Sm  0.500  0.500  0.801
Sm  0.500  0.500  0.399
Sm  0.500  0.500  0.000
Sm  0.500  0.000  0.500
Sm  0.500  0.500  0.601
Th  0.000  0.000  0.000

First-principles (PBE) data for an optimized crystal structure of NaSc2Nb2, as listed in Alexandria.

Values from the calculation:
Calculated density   4.24 g/cm3
DFT formation energy   0.419 eV/atom
Calculated volume   23.38 Å³ per atom
ΔE to the lowest computed polymorph   0.000 eV/atom
Space group   P4/mbm (127)

Unit cell a=8.786 b=8.786 c=3.029 alpha=90.00 beta=90.00 gamma=90.00
Positions (direct):
Sc  0.311  0.189  0.500
Sc  0.189  0.689  0.500
Sc  0.811  0.311  0.500
Sc  0.689  0.811  0.500
Na  0.500  0.500  0.000
Na  0.000  0.000  0.000
Nb  0.898  0.602  0.000
Nb  0.602  0.102  0.000
Nb  0.102  0.398  0.000
Nb  0.398  0.898  0.000

First-principles (PBE) data for an optimized crystal structure of RbYAg2C, as listed in Alexandria.

Values from the calculation:
Calculated density   3.67 g/cm3
DFT formation energy   2.652 eV/atom
Calculated volume   36.37 Å³ per atom
Space group   P4/mmm (123)

Unit cell a=5.330 b=6.401 c=5.330 alpha=90.00 beta=90.00 gamma=90.00
Last column: magnetic moment on the atom in μB.
Positions (direct):
C  0.500  0.500  0.500  0.02
Ag  0.000  0.000  0.500  -0.01
Ag  0.500  0.000  0.000  0.01
Rb  0.000  0.000  0.000  0.03
Y  0.000  0.500  0.000  0.24

First-principles (PBE) data for an optimized crystal structure of HfMgAu, as listed in Alexandria.

Values from the calculation:
Calculated density   11.06 g/cm3
DFT formation energy   -0.301 eV/atom
Calculated volume   20.01 Å³ per atom
Space group   Cmcm (63)

Unit cell a=6.056 b=6.056 c=4.651 alpha=90.00 beta=90.00 gamma=135.27
Positions (direct):
Mg  0.407  0.593  0.250
Mg  0.593  0.407  0.750
Au  0.755  0.245  0.250
Au  0.245  0.755  0.750
Hf  0.099  0.901  0.250
Hf  0.901  0.099  0.750

First-principles (PBE) data for an optimized crystal structure of TaHg4Cl, as listed in Alexandria.

Values from the calculation:
Calculated density   11.67 g/cm3
Calculated volume   24.17 Å³ per atom
Electronic total energy   -1.786 eV per atom
Space group   F-43m (216)

Unit cell a=5.897 b=5.897 c=5.897 alpha=60.00 beta=60.00 gamma=60.00
Last column: magnetic moment on the atom in μB.
Positions (direct):
Hg  0.874  0.375  0.375  0.00
Hg  0.375  0.375  0.375  0.00
Hg  0.375  0.874  0.375  0.00
Hg  0.375  0.375  0.874  0.00
Cl  0.000  0.000  0.000  0.02
Ta  0.750  0.750  0.750  1.82

First-principles (PBE) data for an optimized crystal structure of Cs2Rb9Na6, as listed in Alexandria.

Values from the calculation:
Calculated density   1.31 g/cm3
DFT formation energy   0.104 eV/atom
Calculated volume   87.15 Å³ per atom
Space group   P6/mmm (191)

Unit cell a=9.307 b=9.307 c=19.749 alpha=90.00 beta=90.00 gamma=120.00
Positions (direct):
Na  0.333  0.667  0.668
Na  0.333  0.667  0.332
Na  0.333  0.667  0.000
Na  0.667  0.333  0.668
Na  0.667  0.333  0.332
Na  0.667  0.333  0.000
Rb  0.000  0.500  0.500
Rb  0.000  0.500  0.834
Rb  0.500  0.500  0.834
Rb  0.500  0.500  0.166
Rb  0.500  0.000  0.166
Rb  0.000  0.500  0.166
Rb  0.500  0.000  0.834
Rb  0.500  0.000  0.500
Rb  0.500  0.500  0.500
Cs  0.000  0.000  0.660
Cs  0.000  0.000  0.340